[1]
# Hg2SeCl | the Alexandria database | GGA-PBE | relaxed
data_Hg2SeCl
_space_group_name_H-M_alt 'P 1'
_space_group_IT_number 1
_space_group_name_Hall 'P 1'
_cell_length_a 4.3197
_cell_length_b 4.3197
_cell_length_c 7.2544
_cell_angle_alpha 89.34
_cell_angle_beta 89.34
_cell_angle_gamma 59.26
loop_
_atom_site_label
_atom_site_type_symbol
_atom_site_fract_x
_atom_site_fract_y
_atom_site_fract_z
_atom_site_occupancy
Se1 Se 0.5465 0.5465 0.2487 1
Cl1 Cl 0.8640 0.8640 0.7079 1
Hg1 Hg 0.8812 0.8812 0.0713 1
Hg2 Hg 0.2083 0.2083 0.4721 1
# Fermi-level density of states ... 1.49 states/eV per cell
# Symmetry ... Cm
# Energy above the lowest structure with this stoichiometry ... 42 meV/atom
# Uncorrected formation energy ... -0.8 eV per formula unit


[2]
# Hg2SeCl | the Alexandria database | GGA-PBE | relaxed
data_Hg2SeCl
_space_group_name_H-M_alt 'P 1'
_space_group_IT_number 1
_space_group_name_Hall 'P 1'
_cell_length_a 5.7218
_cell_length_b 5.7218
_cell_length_c 5.7218
_cell_angle_alpha 138.52
_cell_angle_beta 100.19
_cell_angle_gamma 94.24
loop_
_atom_site_label
_atom_site_type_symbol
_atom_site_fract_x
_atom_site_fract_y
_atom_site_fract_z
_atom_site_occupancy
Hg1 Hg 0.5122 0.5122 0.0000 1
Cl1 Cl 0.2500 0.7500 0.5000 1
Se1 Se 0.7500 0.2500 0.5000 1
Hg2 Hg 0.9878 0.9878 0.0000 1
# Fermi-level density of states ... 1.24 states/eV per cell
# Symmetry ... Immm
# Energy above the lowest structure with this stoichiometry ... 119 meV/atom
# Uncorrected formation energy ... -0.5 eV per formula unit


[3]
# Hg2SeCl | the Alexandria database | GGA-PBE | relaxed
data_Hg2SeCl
_space_group_name_H-M_alt 'P 1'
_space_group_IT_number 1
_space_group_name_Hall 'P 1'
_cell_length_a 4.4604
_cell_length_b 4.4604
_cell_length_c 7.8060
_cell_angle_alpha 90.00
_cell_angle_beta 90.00
_cell_angle_gamma 126.16
loop_
_atom_site_label
_atom_site_type_symbol
_atom_site_fract_x
_atom_site_fract_y
_atom_site_fract_z
_atom_site_occupancy
Hg1 Hg 0.0000 0.0000 0.4851 1
Cl1 Cl 0.5000 0.5000 0.7500 1
Se1 Se 0.5000 0.5000 0.2500 1
Hg2 Hg 0.0000 0.0000 0.0149 1
# Fermi-level density of states ... 0.50 states/eV per cell
# Symmetry ... Cmmm
# Energy above the lowest structure with this stoichiometry ... 117 meV/atom
# Uncorrected formation energy ... -0.5 eV per formula unit


[4]
# Hg3SeCl2 | the Alexandria database | GGA-PBE | relaxed
data_Hg3SeCl2
_space_group_name_H-M_alt 'P 1'
_space_group_IT_number 1
_space_group_name_Hall 'P 1'
_cell_length_a 8.2538
_cell_length_b 7.5205
_cell_length_c 8.6191
_cell_angle_alpha 72.44
_cell_angle_beta 89.99
_cell_angle_gamma 123.27
loop_
_atom_site_label
_atom_site_type_symbol
_atom_site_fract_x
_atom_site_fract_y
_atom_site_fract_z
_atom_site_occupancy
Cl1 Cl 0.2956 0.7310 0.9561 1
Se1 Se 0.9361 0.0000 0.7500 1
Se2 Se 0.0639 0.0000 0.2500 1
Hg1 Hg 0.3707 0.0000 0.2500 1
Hg2 Hg 0.2192 0.3317 0.3834 1
Hg3 Hg 0.6293 0.0000 0.7500 1
Cl2 Cl 0.7044 0.2690 0.0439 1
Cl3 Cl 0.5647 0.2690 0.5439 1
Hg4 Hg 0.1125 0.3317 0.8834 1
Hg5 Hg 0.7808 0.6683 0.6166 1
Cl4 Cl 0.4353 0.7310 0.4561 1
Hg6 Hg 0.8875 0.6683 0.1166 1
# Symmetry ... C2/c
# Uncorrected formation energy ... -1.6 eV per formula unit


[5]
# Hg2SeCl | the Alexandria database | GGA-PBE | relaxed
data_Hg2SeCl
_space_group_name_H-M_alt 'P 1'
_space_group_IT_number 1
_space_group_name_Hall 'P 1'
_cell_length_a 4.2388
_cell_length_b 4.2388
_cell_length_c 20.0084
_cell_angle_alpha 90.00
_cell_angle_beta 90.00
_cell_angle_gamma 120.00
loop_
_atom_site_label
_atom_site_type_symbol
_atom_site_fract_x
_atom_site_fract_y
_atom_site_fract_z
_atom_site_occupancy
Hg1 Hg 0.3328 0.9954 0.5926 1
Se1 Se 0.0000 0.3286 0.6667 1
Se2 Se 0.3286 0.0000 0.3333 1
Hg2 Hg 0.6626 0.6672 0.2593 1
Hg3 Hg 0.6672 0.6626 0.7407 1
Cl1 Cl 0.6620 0.6620 0.5000 1
Hg4 Hg 0.0046 0.3374 0.9260 1
Cl2 Cl 0.3380 0.0000 0.8333 1
Cl3 Cl 0.0000 0.3380 0.1667 1
Hg5 Hg 0.3374 0.0046 0.0740 1
Se3 Se 0.6714 0.6714 0.0000 1
Hg6 Hg 0.9954 0.3328 0.4074 1
# Fermi-level density of states ... 3.65 states/eV per cell
# Symmetry ... P3_121
# Energy above the lowest structure with this stoichiometry ... 44 meV/atom
# Uncorrected formation energy ... -0.8 eV per formula unit


[6]
# Hg2SeCl | the Alexandria database | GGA-PBE | relaxed
data_Hg2SeCl
_space_group_name_H-M_alt 'P 1'
_space_group_IT_number 1
_space_group_name_Hall 'P 1'
_cell_length_a 6.9156
_cell_length_b 7.1791
_cell_length_c 9.9551
_cell_angle_alpha 103.96
_cell_angle_beta 102.91
_cell_angle_gamma 110.10
loop_
_atom_site_label
_atom_site_type_symbol
_atom_site_fract_x
_atom_site_fract_y
_atom_site_fract_z
_atom_site_occupancy
Se1 Se 0.9706 0.2206 0.4412 1
Cl1 Cl 0.8055 0.5555 0.1110 1
Hg1 Hg 0.6901 0.4260 0.3709 1
Hg2 Hg 0.3099 0.5740 0.6291 1
Cl2 Cl 0.1945 0.4445 0.8890 1
Hg3 Hg 0.0522 0.2895 0.1405 1
Hg4 Hg 0.4116 0.1490 0.8595 1
Cl3 Cl 0.4361 0.6861 0.3722 1
Hg5 Hg 0.9478 0.7105 0.8595 1
Se2 Se 0.6640 0.9140 0.8279 1
Hg6 Hg 0.5884 0.8510 0.1405 1
Hg7 Hg 0.1808 0.9449 0.3709 1
Se3 Se 0.3360 0.0860 0.1721 1
Se4 Se 0.0294 0.7794 0.5588 1
Cl4 Cl 0.5639 0.3139 0.6278 1
Hg8 Hg 0.8192 0.0551 0.6291 1
# Fermi-level density of states ... 2.21 states/eV per cell
# Symmetry ... C2/c
# Energy above the lowest structure with this stoichiometry ... 0 meV/atom
# Uncorrected formation energy ... -1.0 eV per formula unit


[7]
# Hg2SeCl | the Alexandria database | GGA-PBE | relaxed
data_Hg2SeCl
_space_group_name_H-M_alt 'P 1'
_space_group_IT_number 1
_space_group_name_Hall 'P 1'
_cell_length_a 3.2493
_cell_length_b 3.2493
_cell_length_c 9.5208
_cell_angle_alpha 90.00
_cell_angle_beta 90.00
_cell_angle_gamma 90.00
loop_
_atom_site_label
_atom_site_type_symbol
_atom_site_fract_x
_atom_site_fract_y
_atom_site_fract_z
_atom_site_occupancy
Hg1 Hg 0.0000 0.0000 0.9937 1
Cl1 Cl 0.5000 0.5000 0.8136 1
Se1 Se 0.0000 0.0000 0.4621 1
Hg2 Hg 0.5000 0.5000 0.2306 1
# Fermi-level density of states ... 2.52 states/eV per cell
# Symmetry ... P4mm
# Energy above the lowest structure with this stoichiometry ... 422 meV/atom
# Uncorrected formation energy ... 0.7 eV per formula unit


[8]
# Hg2Se2Cl | the Alexandria database | GGA-PBE | relaxed
data_Hg2Se2Cl
_space_group_name_H-M_alt 'P 1'
_space_group_IT_number 1
_space_group_name_Hall 'P 1'
_cell_length_a 6.6995
_cell_length_b 7.9970
_cell_length_c 7.4243
_cell_angle_alpha 94.24
_cell_angle_beta 60.70
_cell_angle_gamma 73.01
loop_
_atom_site_label
_atom_site_type_symbol
_atom_site_fract_x
_atom_site_fract_y
_atom_site_fract_z
_atom_site_occupancy
Se1 Se 0.3607 0.4151 0.3362 1
Se2 Se 0.2039 0.9936 0.3748 1
Se3 Se 0.7961 0.0064 0.6252 1
Hg1 Hg 0.5294 0.2821 0.5619 1
Cl1 Cl 0.1651 0.1640 0.8969 1
Cl2 Cl 0.8349 0.8360 0.1031 1
Se4 Se 0.6393 0.5849 0.6638 1
Hg2 Hg 0.2888 0.8107 0.0184 1
Hg3 Hg 0.7112 0.1893 0.9816 1
Hg4 Hg 0.4706 0.7179 0.4381 1
# Symmetry ... P-1
# Energy above the lowest structure with this stoichiometry ... 0 meV/atom
# Uncorrected formation energy ... -1.4 eV per formula unit


[9]
# Hg2Se2Cl | the Alexandria database | GGA-PBE | relaxed
data_Hg2Se2Cl
_space_group_name_H-M_alt 'P 1'
_space_group_IT_number 1
_space_group_name_Hall 'P 1'
_cell_length_a 4.0965
_cell_length_b 4.0965
_cell_length_c 7.9731
_cell_angle_alpha 75.11
_cell_angle_beta 75.11
_cell_angle_gamma 90.00
loop_
_atom_site_label
_atom_site_type_symbol
_atom_site_fract_x
_atom_site_fract_y
_atom_site_fract_z
_atom_site_occupancy
Se1 Se 0.2500 0.7500 0.5000 1
Hg1 Hg 0.4072 0.4072 0.1855 1
Cl1 Cl 0.0000 0.0000 0.0000 1
Se2 Se 0.7500 0.2500 0.5000 1
Hg2 Hg 0.5928 0.5928 0.8145 1
# Fermi-level density of states ... 2.10 states/eV per cell
# Symmetry ... I4/mmm
# Energy above the lowest structure with this stoichiometry ... 319 meV/atom
# Uncorrected formation energy ... 0.2 eV per formula unit


[10]
# HgSeCl4 | the Alexandria database | GGA-PBE | relaxed
data_HgSeCl4
_space_group_name_H-M_alt 'P 1'
_space_group_IT_number 1
_space_group_name_Hall 'P 1'
_cell_length_a 6.0910
_cell_length_b 6.0910
_cell_length_c 6.0910
_cell_angle_alpha 60.00
_cell_angle_beta 60.00
_cell_angle_gamma 60.00
loop_
_atom_site_label
_atom_site_type_symbol
_atom_site_fract_x
_atom_site_fract_y
_atom_site_fract_z
_atom_site_occupancy
Se1 Se 0.0000 0.0000 0.0000 1
Cl1 Cl 0.8729 0.3757 0.3757 1
Cl2 Cl 0.3757 0.8729 0.3757 1
Hg1 Hg 0.7500 0.7500 0.7500 1
Cl3 Cl 0.3757 0.3757 0.8729 1
Cl4 Cl 0.3757 0.3757 0.3757 1
# Fermi-level density of states ... 9.10 states/eV per cell
# Symmetry ... F-43m
# Uncorrected formation energy ... 4.4 eV per formula unit


[11]
# Hg12Se3Cl5 | the Alexandria database | GGA-PBE | relaxed
data_Hg12Se3Cl5
_space_group_name_H-M_alt 'P 1'
_space_group_IT_number 1
_space_group_name_Hall 'P 1'
_cell_length_a 14.9153
_cell_length_b 14.9153
_cell_length_c 14.9153
_cell_angle_alpha 109.47
_cell_angle_beta 109.47
_cell_angle_gamma 109.47
loop_
_atom_site_label
_atom_site_type_symbol
_atom_site_fract_x
_atom_site_fract_y
_atom_site_fract_z
_atom_site_occupancy
Se1 Se 0.2500 0.6250 0.8750 1
Se2 Se 0.1250 0.8750 0.7500 1
Hg1 Hg 0.4333 0.7603 0.8741 1
Hg2 Hg 0.7603 0.4333 0.3741 1
Hg3 Hg 0.2397 0.6730 0.1138 1
Hg4 Hg 0.8270 0.8862 0.2603 1
Hg5 Hg 0.5592 0.6259 0.3862 1
Cl1 Cl 0.0000 0.5000 0.0000 1
Hg6 Hg 0.1259 0.7397 0.5667 1
Hg7 Hg 0.1730 0.0592 0.9333 1
Se3 Se 0.2500 0.1250 0.3750 1
Cl2 Cl 0.2500 0.8750 0.1250 1
Hg8 Hg 0.3270 0.7603 0.3862 1
Cl3 Cl 0.3750 0.1250 0.7500 1
Hg9 Hg 0.0592 0.8862 0.1259 1
Hg10 Hg 0.4333 0.6730 0.0592 1
Hg11 Hg 0.3862 0.2603 0.3270 1
Se4 Se 0.1250 0.2500 0.8750 1
Hg12 Hg 0.6138 0.7397 0.6730 1
Hg13 Hg 0.2603 0.3862 0.8270 1
Hg14 Hg 0.8270 0.9408 0.0667 1
Hg15 Hg 0.6730 0.2397 0.6138 1
Cl4 Cl 0.1250 0.7500 0.3750 1
Hg16 Hg 0.3270 0.5667 0.4408 1
Hg17 Hg 0.6259 0.0667 0.2397 1
Se5 Se 0.7500 0.3750 0.1250 1
Hg18 Hg 0.2397 0.5667 0.6259 1
Hg19 Hg 0.3862 0.1259 0.5592 1
Se6 Se 0.8750 0.1250 0.2500 1
Hg20 Hg 0.5667 0.3270 0.9408 1
Cl5 Cl 0.0000 0.5000 0.5000 1
Cl6 Cl 0.8750 0.6250 0.7500 1
Hg21 Hg 0.5667 0.2397 0.1259 1
Cl7 Cl 0.5000 0.0000 0.5000 1
Hg22 Hg 0.2603 0.8741 0.9333 1
Hg23 Hg 0.7397 0.1259 0.0667 1
Hg24 Hg 0.5592 0.9333 0.6730 1
Hg25 Hg 0.3741 0.4408 0.1138 1
Cl8 Cl 0.5000 0.5000 0.0000 1
Hg26 Hg 0.9408 0.8270 0.5667 1
Cl9 Cl 0.5000 0.5000 0.5000 1
Se7 Se 0.6250 0.3750 0.7500 1
Se8 Se 0.6250 0.2500 0.3750 1
Cl10 Cl 0.0000 0.0000 0.5000 1
Hg27 Hg 0.6730 0.4333 0.5592 1
Hg28 Hg 0.8741 0.6138 0.9408 1
Hg29 Hg 0.9408 0.1138 0.8741 1
Hg30 Hg 0.6259 0.5592 0.8862 1
Hg31 Hg 0.4408 0.3741 0.6138 1
Hg32 Hg 0.0667 0.4408 0.8270 1
Hg33 Hg 0.6138 0.8741 0.4408 1
Se9 Se 0.7500 0.8750 0.6250 1
Hg34 Hg 0.7603 0.3270 0.8862 1
Cl11 Cl 0.3750 0.2500 0.1250 1
Cl12 Cl 0.0000 0.0000 0.0000 1
Hg35 Hg 0.3741 0.9333 0.7603 1
Hg36 Hg 0.0667 0.6259 0.7397 1
Cl13 Cl 0.5000 0.0000 0.0000 1
Hg37 Hg 0.1730 0.1138 0.7397 1
Cl14 Cl 0.6250 0.7500 0.8750 1
Hg38 Hg 0.8741 0.2603 0.4333 1
Cl15 Cl 0.6250 0.8750 0.2500 1
Hg39 Hg 0.1259 0.3862 0.0592 1
Cl16 Cl 0.7500 0.6250 0.3750 1
Cl17 Cl 0.1250 0.3750 0.2500 1
Cl18 Cl 0.8750 0.2500 0.6250 1
Hg40 Hg 0.7397 0.6138 0.1730 1
Hg41 Hg 0.8862 0.0592 0.6259 1
Hg42 Hg 0.1138 0.9408 0.3741 1
Cl19 Cl 0.7500 0.1250 0.8750 1
Hg43 Hg 0.8862 0.8270 0.7603 1
Se10 Se 0.3750 0.6250 0.2500 1
Hg44 Hg 0.9333 0.5592 0.1730 1
Se11 Se 0.3750 0.7500 0.6250 1
Hg45 Hg 0.1138 0.1730 0.2397 1
Hg46 Hg 0.0592 0.1730 0.4333 1
Se12 Se 0.8750 0.7500 0.1250 1
Cl20 Cl 0.2500 0.3750 0.6250 1
Hg47 Hg 0.9333 0.3741 0.2603 1
Hg48 Hg 0.4408 0.0667 0.3270 1
# Fermi-level density of states ... 26.24 states/eV per cell
# Symmetry ... Ia-3d
# Uncorrected formation energy ... -1.2 eV per formula unit


[12]
# Hg2SeCl2 | the Alexandria database | GGA-PBE | relaxed
data_Hg2SeCl2
_space_group_name_H-M_alt 'P 1'
_space_group_IT_number 1
_space_group_name_Hall 'P 1'
_cell_length_a 8.6409
_cell_length_b 7.6796
_cell_length_c 9.9766
_cell_angle_alpha 90.00
_cell_angle_beta 101.42
_cell_angle_gamma 90.00
loop_
_atom_site_label
_atom_site_type_symbol
_atom_site_fract_x
_atom_site_fract_y
_atom_site_fract_z
_atom_site_occupancy
Se1 Se 0.3327 0.4077 0.3604 1
Cl1 Cl 0.6215 0.7937 0.0053 1
Hg1 Hg 0.2021 0.6334 0.4983 1
Hg2 Hg 0.9070 0.6217 0.8289 1
Cl2 Cl 0.1215 0.7063 0.0053 1
Se2 Se 0.6673 0.5923 0.6396 1
Se3 Se 0.8327 0.0923 0.3604 1
Hg3 Hg 0.7021 0.8666 0.4983 1
Cl3 Cl 0.0923 0.3917 0.6750 1
Cl4 Cl 0.5923 0.1083 0.6750 1
Cl5 Cl 0.3785 0.2063 0.9947 1
Hg4 Hg 0.2979 0.1334 0.5017 1
Se4 Se 0.1673 0.9077 0.6396 1
Hg5 Hg 0.4070 0.8783 0.8289 1
Cl6 Cl 0.4077 0.8917 0.3250 1
Hg6 Hg 0.0930 0.3783 0.1711 1
Cl7 Cl 0.8785 0.2937 0.9947 1
Hg7 Hg 0.7979 0.3666 0.5017 1
Cl8 Cl 0.9077 0.6083 0.3250 1
Hg8 Hg 0.5930 0.1217 0.1711 1
# Fermi-level density of states ... 0.00 states/eV per cell
# Symmetry ... P2_1/c
# Energy above the lowest structure with this stoichiometry ... 0 meV/atom
# Uncorrected formation energy ... -2.4 eV per formula unit